Record 1
Crystalline YBeRu2Pt at its relaxed geometry. Source: Alexandria, functional PBE.

```
5
Lattice="4.757 0.000 0.000 0.000 4.572 0.000 0.000 0.000 4.757" Properties=species:S:1:pos:R:3 pbc="T T T"
Be 0.000 2.286 0.000
Ru 0.000 0.000 2.378
Ru 2.378 0.000 0.000
Pt 2.378 2.286 2.378
Y 0.000 0.000 0.000
```

Properties
- DFT total energy: -4.92 eV per atom
- DOS(E_F): 5.98 states/eV per cell
- ΔE_f: 984 kJ/mol of formula units
- Magnetic moment: 2.4 μB per cell
- SG: P4/mmm, No. 123
- Crystal system: tetragonal



Record 2
Crystalline Y2BeRuPt at its relaxed geometry. Source: Alexandria, functional PBE.

```
5
Lattice="-0.505 4.838 -1.450 -2.774 0.555 2.818 3.615 1.364 3.291" Properties=species:S:1:pos:R:3 pbc="T T T"
Ru 0.168 3.378 2.329
Y 1.808 0.682 1.645
Y -0.253 2.419 -0.725
Be 0.000 0.000 0.000
Pt -1.387 0.277 1.409
```

Properties
- DFT total energy: -6.42 eV per atom
- DOS(E_F): 1.65 states/eV per cell
- ΔE_f: -13 kJ/mol of formula units
- Magnetic moment: 0.0 μB per cell
- SG: P4/mmm, No. 123
- Crystal system: tetragonal



Record 3
Crystalline Be2ZnRuPt at its relaxed geometry. Source: Alexandria, functional PBE.

```
5
Lattice="4.127 0.000 0.000 0.000 4.870 0.000 0.000 0.000 4.127" Properties=species:S:1:pos:R:3 pbc="T T T"
Ru 0.000 0.000 0.000
Be 2.064 0.000 0.000
Be 0.000 0.000 2.064
Pt 0.000 2.435 0.000
Zn 2.064 2.435 2.064
```

Properties
- DFT total energy: -4.05 eV per atom
- DOS(E_F): 3.69 states/eV per cell
- ΔE_f: 367 kJ/mol of formula units
- Magnetic moment: 0.0 μB per cell
- SG: P4/mmm, No. 123
- Crystal system: tetragonal



Record 4
Crystalline BePtS at its relaxed geometry. Source: Alexandria, functional PBE.

```
6
Lattice="-0.451 0.161 4.432 5.863 -2.378 -0.776 1.609 2.997 0.056" Properties=species:S:1:pos:R:3 pbc="T T T"
S 2.768 0.265 1.070
S 5.716 0.270 -0.566
Be 7.028 0.655 2.785
Be 4.099 1.516 -0.006
Pt 1.724 0.781 3.192
Pt 5.227 -0.289 1.643
```

Properties
- DFT total energy: -4.98 eV per atom
- E_form (uncorrected): -0.346 eV per atom
- DOS(E_F): 1.05 states/eV per cell
- Magnetic moment: 0.0 μB per cell
- SG: P1, No. 1
- Crystal system: triclinic